A.
Density functional theory data (PBE+U) for crystalline SrNiI2O at its relaxed geometry.

Unit cell a=6.406 b=6.406 c=4.512 alpha=90.00 beta=90.00 gamma=90.00
Site moments in Bohr magnetons follow the coordinates.
Positions (direct):
Sr: 0.000 0.000 0.000  0.01
I: 0.500 0.000 0.000  0.04
I: 0.000 0.500 0.000  0.04
O: 0.000 0.000 0.500  0.70
Ni: 0.500 0.500 0.500  0.97

Results
calculated volume	185.1	Å³ per cell
size of the total moment	2.02	μB per cell

B.
Density functional theory data (PBE+U) for crystalline SrNiI2O at its relaxed geometry.

Unit cell a=5.821 b=5.821 c=3.804 alpha=90.00 beta=90.00 gamma=90.00
Site moments in Bohr magnetons follow the coordinates.
Positions (direct):
I: 0.000 0.500 0.000  0.03
I: 0.500 0.000 0.000  0.03
O: 0.000 0.000 0.500  0.45
Ni: 0.000 0.000 0.000  1.44
Sr: 0.500 0.500 0.500  0.00

Results
calculated volume	128.9	Å³ per cell
size of the total moment	2.06	μB per cell

Preferred: B; penalty for the next structure: 471 meV/atom.

A.
Density functional theory data (PBE+U) for crystalline TaNiI2O at its relaxed geometry.

Unit cell a=5.402 b=5.402 c=3.542 alpha=90.00 beta=90.00 gamma=90.00
Site moments in Bohr magnetons follow the coordinates.
Positions (direct):
I: 0.500 0.000 0.000  -0.03
I: 0.000 0.500 0.000  -0.03
Ni: 0.000 0.000 0.000  0.49
Ta: 0.500 0.500 0.500  1.46
O: 0.000 0.000 0.500  -0.36

Results
calculated volume	103.4	Å³ per cell
size of the total moment	2.27	μB per cell

B.
Density functional theory data (PBE+U) for crystalline TaNiI2O at its relaxed geometry.

Unit cell a=5.582 b=5.582 c=3.856 alpha=90.00 beta=90.00 gamma=90.00
Positions (direct):
Ni: 0.500 0.500 0.500
O: 0.000 0.000 0.500
Ta: 0.000 0.000 0.000
I: 0.000 0.500 0.000
I: 0.500 0.000 0.000

Results
calculated volume	120.2	Å³ per cell
size of the total moment	0.00	μB per cell

Preferred: B; penalty for the next structure: 554 meV/atom.

A.
Density functional theory data (PBE+U) for crystalline TaNiIO2 at its relaxed geometry.

Unit cell a=3.983 b=3.983 c=4.872 alpha=90.00 beta=90.00 gamma=90.00
Site moments in Bohr magnetons follow the coordinates.
Positions (direct):
O: 0.500 0.000 0.000  0.00
O: 0.000 0.500 0.000  0.00
Ta: 0.500 0.500 0.500  0.32
I: 0.000 0.000 0.500  0.03
Ni: 0.000 0.000 0.000  1.46

Results
calculated volume	77.3	Å³ per cell
size of the total moment	1.92	μB per cell

B.
Density functional theory data (PBE+U) for crystalline TaNiIO2 at its relaxed geometry.

Unit cell a=3.870 b=3.870 c=6.134 alpha=90.00 beta=90.00 gamma=90.00
Positions (direct):
Ta: 0.000 0.000 0.000
I: 0.000 0.000 0.500
O: 0.000 0.500 0.000
O: 0.500 0.000 0.000
Ni: 0.500 0.500 0.500

Results
calculated volume	91.9	Å³ per cell
size of the total moment	0.00	μB per cell

Preferred: B; penalty for the next structure: 1544 meV/atom.

A.
Density functional theory data (PBE+U) for crystalline TcNiIO2 at its relaxed geometry.

Unit cell a=3.802 b=3.802 c=6.073 alpha=90.00 beta=90.00 gamma=90.00
Site moments in Bohr magnetons follow the coordinates.
Positions (direct):
Tc: 0.000 0.000 0.000  0.01
O: 0.500 0.000 0.000  0.00
O: 0.000 0.500 0.000  0.00
Ni: 0.500 0.500 0.500  0.96
I: 0.000 0.000 0.500  0.03

Results
calculated volume	87.8	Å³ per cell
size of the total moment	1.07	μB per cell

B.
Density functional theory data (PBE+U) for crystalline TcNiIO2 at its relaxed geometry.

Unit cell a=3.940 b=3.940 c=5.638 alpha=90.00 beta=90.00 gamma=90.00
Site moments in Bohr magnetons follow the coordinates.
Positions (direct):
O: 0.000 0.500 0.000  0.54
O: 0.500 0.000 0.000  0.54
Tc: 0.500 0.500 0.500  3.27
Ni: 0.000 0.000 0.000  1.70
I: 0.000 0.000 0.500  0.10

Results
calculated volume	87.5	Å³ per cell
size of the total moment	6.84	μB per cell

Preferred: A; penalty for the next structure: 1102 meV/atom.

A.
Density functional theory data (PBE+U) for crystalline NiTe2IO at its relaxed geometry.

Unit cell a=4.977 b=4.977 c=5.003 alpha=90.00 beta=90.00 gamma=90.00
Positions (direct):
I: 0.000 0.000 0.500
Ni: 0.000 0.000 0.000
Te: 0.500 0.000 0.000
Te: 0.000 0.500 0.000
O: 0.500 0.500 0.500

Results
calculated volume	123.9	Å³ per cell
size of the total moment	0.00	μB per cell

B.
Density functional theory data (PBE+U) for crystalline NiTe2IO at its relaxed geometry.

Unit cell a=4.784 b=4.784 c=5.132 alpha=90.00 beta=90.00 gamma=90.00
Site moments in Bohr magnetons follow the coordinates.
Positions (direct):
Te: 0.000 0.500 0.000  0.08
Te: 0.500 0.000 0.000  0.08
O: 0.000 0.000 0.000  0.01
I: 0.000 0.000 0.500  0.03
Ni: 0.500 0.500 0.500  1.50

Results
calculated volume	117.5	Å³ per cell
size of the total moment	1.83	μB per cell

Preferred: B; penalty for the next structure: 325 meV/atom.

A.
Density functional theory data (PBE+U) for crystalline TiNiI2O at its relaxed geometry.

Unit cell a=5.625 b=5.625 c=3.740 alpha=90.00 beta=90.00 gamma=90.00
Site moments in Bohr magnetons follow the coordinates.
Positions (direct):
Ni: 0.500 0.500 0.500  -0.99
I: 0.500 0.000 0.000  0.00
I: 0.000 0.500 0.000  0.00
Ti: 0.000 0.000 0.000  0.03
O: 0.000 0.000 0.500  0.00

Results
calculated volume	118.3	Å³ per cell
size of the total moment	1.03	μB per cell

B.
Density functional theory data (PBE+U) for crystalline TiNiI2O at its relaxed geometry.

Unit cell a=5.555 b=5.555 c=3.569 alpha=90.00 beta=90.00 gamma=90.00
Site moments in Bohr magnetons follow the coordinates.
Positions (direct):
Ni: 0.000 0.000 0.000  -1.34
I: 0.000 0.500 0.000  -0.01
I: 0.500 0.000 0.000  -0.01
O: 0.000 0.000 0.500  -0.40
Ti: 0.500 0.500 0.500  -0.48

Results
calculated volume	110.1	Å³ per cell
size of the total moment	2.45	μB per cell

Preferred: A; penalty for the next structure: 820 meV/atom.

A.
Density functional theory data (PBE+U) for crystalline TlNiIO2 at its relaxed geometry.

Unit cell a=4.094 b=4.094 c=6.997 alpha=90.00 beta=90.00 gamma=90.00
Site moments in Bohr magnetons follow the coordinates.
Positions (direct):
O: 0.500 0.000 0.000  0.00
O: 0.000 0.500 0.000  0.00
Tl: 0.000 0.000 0.000  0.00
I: 0.000 0.000 0.500  0.01
Ni: 0.500 0.500 0.500  0.96

Results
calculated volume	117.3	Å³ per cell
size of the total moment	0.99	μB per cell

B.
Density functional theory data (PBE+U) for crystalline TlNiIO2 at its relaxed geometry.

Unit cell a=4.256 b=4.256 c=5.556 alpha=90.00 beta=90.00 gamma=90.00
Site moments in Bohr magnetons follow the coordinates.
Positions (direct):
Tl: 0.500 0.500 0.500  0.03
O: 0.500 0.000 0.000  0.67
O: 0.000 0.500 0.000  0.67
I: 0.000 0.000 0.500  0.08
Ni: 0.000 0.000 0.000  1.77

Results
calculated volume	100.6	Å³ per cell
size of the total moment	3.55	μB per cell

Preferred: B; penalty for the next structure: 196 meV/atom.

A.
Density functional theory data (PBE+U) for crystalline VNiI2O at its relaxed geometry.

Unit cell a=5.588 b=5.588 c=3.670 alpha=90.00 beta=90.00 gamma=90.00
Site moments in Bohr magnetons follow the coordinates.
Positions (direct):
I: 0.000 0.500 0.000  -0.07
I: 0.500 0.000 0.000  -0.07
V: 0.000 0.000 0.000  1.93
Ni: 0.500 0.500 0.500  0.06
O: 0.000 0.000 0.500  -0.20

Results
calculated volume	114.6	Å³ per cell
size of the total moment	1.80	μB per cell

B.
Density functional theory data (PBE+U) for crystalline VNiI2O at its relaxed geometry.

Unit cell a=5.566 b=5.566 c=3.624 alpha=90.00 beta=90.00 gamma=90.00
Site moments in Bohr magnetons follow the coordinates.
Positions (direct):
O: 0.000 0.000 0.500  0.44
I: 0.000 0.500 0.000  0.00
I: 0.500 0.000 0.000  0.00
V: 0.500 0.500 0.500  1.27
Ni: 0.000 0.000 0.000  1.34

Results
calculated volume	112.3	Å³ per cell
size of the total moment	3.41	μB per cell

Preferred: A; penalty for the next structure: 361 meV/atom.